No. 1
This record from the Alexandria database describes a relaxed structure of BiAu2F. The functional is PBE-GGA.

Computed properties:
E: -28.34 eV per cell
offset from the most stable computed form: 0.000 eV per atom
total magnetization: 0.0 Bohr magnetons per cell
formation energy without anion corrections: -465 meV per atom

Cell: 7.976 7.976 6.225 Å, 50.16 50.16 90.00°
Fractional coordinates of all 8 atoms:
Au  0.617  0.125  0.250
Au  0.133  0.625  0.250
Au  0.375  0.383  0.750
Au  0.875  0.867  0.750
Bi  0.000  0.000  0.000
Bi  0.750  0.250  0.500
F  0.500  0.500  0.000
F  0.250  0.750  0.500

No. 2
This record from the Alexandria database describes a relaxed structure of LiMoOs2. The functional is PBE-GGA.

Computed properties:
DFT formation energy: 0.193 eV/atom
E: -34.43 eV per cell
offset from the most stable computed form: 0.066 eV per atom
total magnetization: 0.0 Bohr magnetons per cell

Cell: 4.283 2.658 4.982 Å, 85.21 90.00 90.00°
Fractional coordinates of all 4 atoms:
Li  0.500  0.250  0.250
Mo  0.500  0.750  0.750
Os  0.000  0.009  0.020
Os  0.000  0.491  0.480

No. 3
This record from the Alexandria database describes a relaxed structure of FeNi5Pt6. The functional is PBE-GGA.

Computed properties:
DFT formation energy: -0.144 eV/atom
E: -75.34 eV per cell
offset from the most stable computed form: 0.004 eV per atom
total magnetization: 8.8 Bohr magnetons per cell

Cell: 3.855 7.320 7.094 Å, 121.06 105.77 90.00°
Fractional coordinates of all 12 atoms:
Ni  0.665  0.165  0.329
Ni  0.336  0.336  0.672
Ni  0.000  0.500  0.000
Ni  0.664  0.664  0.328
Ni  0.335  0.835  0.671
Fe  0.000  0.000  0.000
Pt  0.833  0.583  0.666
Pt  0.833  0.082  0.666
Pt  0.500  0.751  0.000
Pt  0.500  0.249  0.000
Pt  0.167  0.918  0.334
Pt  0.167  0.417  0.334

No. 4
This record from the Alexandria database describes a relaxed structure of LiMnV2C. The functional is PBE-GGA.

Computed properties:
DFT formation energy: 1.029 eV/atom
E: -33.40 eV per cell
total magnetization: 3.9 Bohr magnetons per cell

Cell: 4.482 3.703 4.482 Å, 90.00 90.00 90.00°
Fractional coordinates of all 5 atoms:
C  0.000  0.500  0.000
Mn  0.000  0.000  0.000
Li  0.500  0.500  0.500
V  0.000  0.000  0.500
V  0.500  0.000  0.000

No. 5
This record from the Alexandria database describes a relaxed structure of LiSn3Ge. The functional is PBE-GGA.

Computed properties:
DFT formation energy: 0.338 eV/atom
E: -16.85 eV per cell
offset from the most stable computed form: 0.000 eV per atom
total magnetization: 0.0 Bohr magnetons per cell

Cell: 5.014 5.014 5.014 Å, 90.00 90.00 90.00°
Fractional coordinates of all 5 atoms:
Ge  0.500  0.500  0.500
Sn  0.000  0.500  0.000
Sn  0.000  0.000  0.500
Sn  0.500  0.000  0.000
Li  0.000  0.000  0.000

No. 6
This record from the Alexandria database describes a relaxed structure of LiPmGdPd. The functional is PBE-GGA.

Computed properties:
DFT formation energy: -0.357 eV/atom
E: -27.37 eV per cell
total magnetization: 7.2 Bohr magnetons per cell

Cell: 5.116 5.116 5.116 Å, 60.00 60.00 60.00°
Fractional coordinates of all 4 atoms:
Gd  0.750  0.750  0.750
Li  0.000  0.000  0.000
Pd  0.500  0.500  0.500
Pm  0.250  0.250  0.250

No. 7
This record from the Alexandria database describes a relaxed structure of DyZnGa6. The functional is PBE-GGA.

Computed properties:
DFT formation energy: -0.203 eV/atom
E: -25.66 eV per cell
total magnetization: 0.0 Bohr magnetons per cell

Cell: 4.447 6.118 6.118 Å, 66.28 90.00 90.00°
Fractional coordinates of all 8 atoms:
Dy  0.500  0.000  0.000
Zn  0.500  0.500  0.500
Ga  0.000  0.701  0.299
Ga  0.000  0.299  0.701
Ga  0.000  0.786  0.786
Ga  0.000  0.214  0.214
Ga  0.500  0.500  0.000
Ga  0.500  0.000  0.500

No. 8
This record from the Alexandria database describes a relaxed structure of Be2RuPt. The functional is PBE-GGA.

Computed properties:
DFT formation energy: -0.362 eV/atom
E: -24.22 eV per cell
offset from the most stable computed form: 0.168 eV per atom
total magnetization: 0.0 Bohr magnetons per cell

Cell: 4.565 4.565 4.115 Å, 73.23 73.23 34.37°
Fractional coordinates of all 4 atoms:
Ru  0.254  0.254  0.174
Pt  0.495  0.495  0.575
Be  0.006  0.006  0.059
Be  0.745  0.745  0.692

No. 9
This record from the Alexandria database describes a relaxed structure of SmAlZn3Ag. The functional is PBE-GGA.

Computed properties:
DFT formation energy: -0.069 eV/atom
E: -31.09 eV per cell
total magnetization: 0.0 Bohr magnetons per cell

Cell: 5.917 6.175 7.193 Å, 115.42 90.00 90.00°
Fractional coordinates of all 12 atoms:
Sm  0.750  0.301  0.602
Sm  0.250  0.699  0.398
Al  0.250  0.924  0.848
Al  0.750  0.076  0.152
Zn  0.250  0.130  0.260
Zn  0.000  0.301  0.000
Zn  0.500  0.699  0.000
Zn  0.500  0.301  0.000
Zn  0.000  0.699  0.000
Zn  0.750  0.870  0.740
Ag  0.250  0.340  0.679
Ag  0.750  0.660  0.321

No. 10
This record from the Alexandria database describes a relaxed structure of Li2AgIr. The functional is PBE-GGA.

Computed properties:
DFT formation energy: -0.067 eV/atom
E: -15.81 eV per cell
total magnetization: 0.0 Bohr magnetons per cell

Cell: 4.324 2.604 5.257 Å, 85.03 90.00 90.00°
Fractional coordinates of all 4 atoms:
Ag  0.500  0.250  0.250
Ir  0.500  0.750  0.750
Li  0.000  0.069  0.975
Li  0.000  0.431  0.525

No. 11
This record from the Alexandria database describes a relaxed structure of Nd5Zn2In. The functional is PBE-GGA.

Computed properties:
DFT formation energy: -0.247 eV/atom
E: -62.20 eV per cell
total magnetization: 0.0 Bohr magnetons per cell

Cell: 7.770 7.770 9.543 Å, 114.02 114.02 90.00°
Fractional coordinates of all 16 atoms:
Nd  0.518  0.686  0.704
Nd  0.814  0.982  0.296
Nd  0.000  0.000  0.000
Nd  0.500  0.500  0.000
Nd  0.186  0.018  0.704
Nd  0.686  0.186  0.704
Nd  0.018  0.518  0.704
Nd  0.314  0.814  0.296
Nd  0.982  0.482  0.296
Nd  0.482  0.314  0.296
Zn  0.120  0.380  0.000
Zn  0.620  0.120  0.000
Zn  0.380  0.880  0.000
Zn  0.880  0.620  0.000
In  0.750  0.750  0.500
In  0.250  0.250  0.500

No. 12
This record from the Alexandria database describes a relaxed structure of Li8Hg6Pb. The functional is PBE-GGA.

Computed properties:
DFT formation energy: -0.270 eV/atom
E: -24.88 eV per cell
total magnetization: 0.0 Bohr magnetons per cell

Cell: 7.503 7.503 7.584 Å, 60.35 60.35 60.00°
Fractional coordinates of all 15 atoms:
Li  0.654  0.148  0.366
Li  0.852  0.168  0.634
Li  0.168  0.346  0.634
Li  0.601  0.601  0.198
Li  0.399  0.399  0.802
Li  0.832  0.654  0.366
Li  0.148  0.832  0.366
Li  0.346  0.852  0.634
Hg  0.503  0.988  0.805
Hg  0.012  0.296  0.195
Hg  0.296  0.497  0.195
Hg  0.704  0.503  0.805
Hg  0.988  0.704  0.805
Hg  0.497  0.012  0.195
Pb  0.000  0.000  0.000

No. 13
This record from the Alexandria database describes a relaxed structure of CdPbBr2. The functional is PBE-GGA.

Computed properties:
E: -10.10 eV per cell
offset from the most stable computed form: 0.005 eV per atom
total magnetization: 0.0 Bohr magnetons per cell
formation energy without anion corrections: -533 meV per atom

Cell: 4.137 5.300 6.685 Å, 62.25 90.00 90.00°
Fractional coordinates of all 4 atoms:
Pb  0.500  0.679  0.760
Br  0.000  0.966  0.949
Br  0.500  0.252  0.357
Cd  0.000  0.603  0.434

No. 14
This record from the Alexandria database describes a relaxed structure of ThTi2Br2Cl4. The functional is PBE-GGA.

Computed properties:
E: -46.44 eV per cell
total magnetization: 0.0 Bohr magnetons per cell
formation energy without anion corrections: -1388 meV per atom

Cell: 3.457 3.457 22.658 Å, 90.00 90.00 120.00°
Fractional coordinates of all 9 atoms:
Th  0.000  0.000  0.325
Ti  0.000  0.000  0.969
Ti  0.667  0.333  0.666
Br  0.667  0.333  0.424
Br  0.667  0.333  0.225
Cl  0.000  0.000  0.598
Cl  0.667  0.333  0.037
Cl  0.667  0.333  0.901
Cl  0.000  0.000  0.733

No. 15
This record from the Alexandria database describes a relaxed structure of NdDyAl2Ga2. The functional is PBE-GGA.

Computed properties:
DFT formation energy: -0.575 eV/atom
E: -26.36 eV per cell
total magnetization: 0.0 Bohr magnetons per cell

Cell: 4.417 4.417 7.710 Å, 90.00 90.00 120.00°
Fractional coordinates of all 6 atoms:
Nd  0.000  0.000  0.000
Dy  0.000  0.000  0.500
Al  0.333  0.667  0.741
Al  0.667  0.333  0.259
Ga  0.333  0.667  0.262
Ga  0.667  0.333  0.738

No. 16
This record from the Alexandria database describes a relaxed structure of TbCe2Sb. The functional is PBE-GGA.

Computed properties:
E: -22.72 eV per cell
offset from the most stable computed form: 0.061 eV per atom
total magnetization: 1.0 Bohr magnetons per cell
formation energy without anion corrections: -526 meV per atom

Cell: 5.095 4.582 4.582 Å, 90.00 90.00 90.00°
Fractional coordinates of all 4 atoms:
Sb  0.500  0.000  0.000
Tb  0.500  0.500  0.500
Ce  0.000  0.000  0.500
Ce  0.000  0.500  0.000

No. 17
This record from the Alexandria database describes a relaxed structure of SbMo8. The functional is PBE-GGA.

Computed properties:
E: -88.15 eV per cell
total magnetization: 0.0 Bohr magnetons per cell
formation energy without anion corrections: 291 meV per atom

Cell: 6.180 6.180 6.180 Å, 97.58 97.58 137.42°
Fractional coordinates of all 9 atoms:
Sb  0.000  0.000  0.000
Mo  0.666  0.334  0.000
Mo  0.334  0.666  0.000
Mo  0.000  0.662  0.662
Mo  0.334  0.334  0.667
Mo  0.662  0.000  0.662
Mo  0.666  0.666  0.333
Mo  0.000  0.338  0.338
Mo  0.338  0.000  0.338

No. 18
This record from the Alexandria database describes a relaxed structure of AlZnIr2N. The functional is PBE-GGA.

Computed properties:
E: -29.23 eV per cell
total magnetization: 0.0 Bohr magnetons per cell
formation energy without anion corrections: 367 meV per atom

Cell: 4.147 3.954 4.147 Å, 90.00 90.00 90.00°
Fractional coordinates of all 5 atoms:
Zn  0.000  0.500  0.000
Ir  0.000  0.000  0.500
Ir  0.500  0.000  0.000
Al  0.500  0.500  0.500
N  0.000  0.000  0.000

No. 19
This record from the Alexandria database describes a relaxed structure of Al2Ni. The functional is PBE-GGA.

Computed properties:
DFT formation energy: 0.176 eV/atom
E: -25.48 eV per cell
total magnetization: 0.0 Bohr magnetons per cell

Cell: 4.980 4.980 4.980 Å, 60.00 60.00 60.00°
Fractional coordinates of all 6 atoms:
Al  0.125  0.125  0.125
Al  0.125  0.625  0.125
Al  0.125  0.125  0.625
Al  0.625  0.125  0.125
Ni  0.750  0.750  0.750
Ni  0.500  0.500  0.500

No. 20
This record from the Alexandria database describes a relaxed structure of ZrGa3C. The functional is PBE-GGA.

Computed properties:
DFT formation energy: 1.872 eV/atom
E: -17.49 eV per cell
offset from the most stable computed form: 1.246 eV per atom
total magnetization: 0.0 Bohr magnetons per cell

Cell: 5.289 5.289 5.289 Å, 90.00 90.00 90.00°
Fractional coordinates of all 5 atoms:
C  0.500  0.500  0.500
Ga  0.000  0.500  0.000
Ga  0.000  0.000  0.500
Ga  0.500  0.000  0.000
Zr  0.000  0.000  0.000